Version one
# Be4In

A relaxed Be4In crystal (GGA-PBE, Alexandria).

CIF file:
```
data_Be4In
_chemical_formula_sum 'Be8 In2'
_space_group_name_H-M_alt 'I 4/m'
_space_group_IT_number 87
_space_group_name_Hall '-I 4'
_cell_length_a 5.768
_cell_length_b 5.768
_cell_length_c 3.567
_cell_angle_alpha 90.00
_cell_angle_beta 90.00
_cell_angle_gamma 90.00
loop_
_atom_site_label
_atom_site_fract_x
_atom_site_fract_y
_atom_site_fract_z
_atom_site_occupancy
Be1 0.076 0.335 0.000 1
In1 0.000 0.000 0.500 1
```

Total magnetization, μB/cell: 0.0
DOS(E_F), states/eV/cell: 4.28


Version two
# Be4In

A relaxed Be4In crystal (GGA-PBE, Alexandria).

CIF file:
```
data_Be4In
_chemical_formula_sum 'Be4 In1'
_space_group_name_H-M_alt 'P m -3 m'
_space_group_IT_number 221
_space_group_name_Hall '-P 4 2 3'
_cell_length_a 4.509
_cell_length_b 4.509
_cell_length_c 4.509
_cell_angle_alpha 90.00
_cell_angle_beta 90.00
_cell_angle_gamma 90.00
loop_
_atom_site_label
_atom_site_fract_x
_atom_site_fract_y
_atom_site_fract_z
_atom_site_occupancy
Be1 0.000 0.000 0.000 1
Be2 0.000 0.500 0.500 1
In1 0.500 0.500 0.500 1
```

Total magnetization, μB/cell: 0.0
DOS(E_F), states/eV/cell: 1.53


Quick one: most stable of them? version one


Version one
# Be2InIr2

A relaxed Be2InIr2 crystal (GGA-PBE, Alexandria).

CIF file:
```
data_Be2InIr2
_chemical_formula_sum 'Be4 In2 Ir4'
_space_group_name_H-M_alt 'P 4/m b m'
_space_group_IT_number 127
_space_group_name_Hall '-P 4 2ab'
_cell_length_a 6.864
_cell_length_b 6.864
_cell_length_c 2.893
_cell_angle_alpha 90.00
_cell_angle_beta 90.00
_cell_angle_gamma 90.00
loop_
_atom_site_label
_atom_site_fract_x
_atom_site_fract_y
_atom_site_fract_z
_atom_site_occupancy
Be1 0.140 0.360 0.000 1
In1 0.000 0.000 0.500 1
Ir1 0.146 0.646 0.500 1
```

Total magnetization, μB/cell: 0.0
DOS(E_F), states/eV/cell: 3.66


Version two
# Be2InIr2

A relaxed Be2InIr2 crystal (GGA-PBE, Alexandria).

CIF file:
```
data_Be2InIr2
_chemical_formula_sum 'Be4 In2 Ir4'
_space_group_name_H-M_alt 'P 4/m b m'
_space_group_IT_number 127
_space_group_name_Hall '-P 4 2ab'
_cell_length_a 6.690
_cell_length_b 6.690
_cell_length_c 2.884
_cell_angle_alpha 90.00
_cell_angle_beta 90.00
_cell_angle_gamma 90.00
loop_
_atom_site_label
_atom_site_fract_x
_atom_site_fract_y
_atom_site_fract_z
_atom_site_occupancy
Be1 0.121 0.379 0.000 1
In1 0.000 0.000 0.000 1
Ir1 0.165 0.665 0.500 1
```

Total magnetization, μB/cell: 0.0
DOS(E_F), states/eV/cell: 3.47


Quick one: most stable of them? version two


Version one
# BeInIr3

A relaxed BeInIr3 crystal (GGA-PBE, Alexandria).

CIF file:
```
data_BeInIr3
_chemical_formula_sum 'Be1 In1 Ir3'
_space_group_name_H-M_alt 'P m -3 m'
_space_group_IT_number 221
_space_group_name_Hall '-P 4 2 3'
_cell_length_a 4.210
_cell_length_b 4.210
_cell_length_c 4.210
_cell_angle_alpha 90.00
_cell_angle_beta 90.00
_cell_angle_gamma 90.00
loop_
_atom_site_label
_atom_site_fract_x
_atom_site_fract_y
_atom_site_fract_z
_atom_site_occupancy
Be1 0.000 0.000 0.000 1
In1 0.500 0.500 0.500 1
Ir1 0.000 0.000 0.500 1
```

Total magnetization, μB/cell: 0.0
DOS(E_F), states/eV/cell: 2.07


Version two
# BeInIr3

A relaxed BeInIr3 crystal (GGA-PBE, Alexandria).

CIF file:
```
data_BeInIr3
_chemical_formula_sum 'Be1 In1 Ir3'
_space_group_name_H-M_alt 'P m -3 m'
_space_group_IT_number 221
_space_group_name_Hall '-P 4 2 3'
_cell_length_a 4.843
_cell_length_b 4.843
_cell_length_c 4.843
_cell_angle_alpha 90.00
_cell_angle_beta 90.00
_cell_angle_gamma 90.00
loop_
_atom_site_label
_atom_site_fract_x
_atom_site_fract_y
_atom_site_fract_z
_atom_site_occupancy
Be1 0.000 0.000 0.000 1
In1 0.500 0.500 0.500 1
Ir1 0.000 0.500 0.500 1
```

Total magnetization, μB/cell: 1.8
DOS(E_F), states/eV/cell: 9.47


Quick one: most stable of them? version one


Version one
# BeInIr

A relaxed BeInIr crystal (GGA-PBE, Alexandria).

CIF file:
```
data_BeInIr
_chemical_formula_sum 'Be2 In2 Ir2'
_space_group_name_H-M_alt 'I m m 2'
_space_group_IT_number 44
_space_group_name_Hall 'I 2 -2'
_cell_length_a 2.990
_cell_length_b 3.185
_cell_length_c 9.422
_cell_angle_alpha 90.00
_cell_angle_beta 90.00
_cell_angle_gamma 90.00
loop_
_atom_site_label
_atom_site_fract_x
_atom_site_fract_y
_atom_site_fract_z
_atom_site_occupancy
Be1 0.000 0.000 0.000 1
In1 0.000 0.000 0.708 1
Ir1 0.000 0.000 0.412 1
```

Total magnetization, μB/cell: 0.0
DOS(E_F), states/eV/cell: 2.64


Version two
# BeInIr

A relaxed BeInIr crystal (GGA-PBE, Alexandria).

CIF file:
```
data_BeInIr
_chemical_formula_sum 'Be4 In4 Ir4'
_space_group_name_H-M_alt 'F -4 3 m'
_space_group_IT_number 216
_space_group_name_Hall 'F -4 2 3'
_cell_length_a 5.709
_cell_length_b 5.709
_cell_length_c 5.709
_cell_angle_alpha 90.00
_cell_angle_beta 90.00
_cell_angle_gamma 90.00
loop_
_atom_site_label
_atom_site_fract_x
_atom_site_fract_y
_atom_site_fract_z
_atom_site_occupancy
Be1 0.000 0.000 0.000 1
In1 0.250 0.250 0.250 1
Ir1 0.250 0.250 0.750 1
```

Total magnetization, μB/cell: 0.0
DOS(E_F), states/eV/cell: 4.86


Quick one: most stable of them? version one


Version one
# BeInIr

A relaxed BeInIr crystal (GGA-PBE, Alexandria).

CIF file:
```
data_BeInIr
_chemical_formula_sum 'Be1 In1 Ir1'
_space_group_name_H-M_alt 'P -6 m 2'
_space_group_IT_number 187
_space_group_name_Hall 'P -6 2'
_cell_length_a 4.0712
_cell_length_b 4.0712
_cell_length_c 3.1386
_cell_angle_alpha 90.00
_cell_angle_beta 90.00
_cell_angle_gamma 120.00
loop_
_atom_site_label
_atom_site_fract_x
_atom_site_fract_y
_atom_site_fract_z
_atom_site_occupancy
Be1 0.0000 0.0000 0.0000 1
In1 0.6667 0.3333 0.5000 1
Ir1 0.3333 0.6667 0.0000 1
```

Total magnetization, μB/cell: 0.0
DOS(E_F), states/eV/cell: 1.40


Version two
# BeInIr

A relaxed BeInIr crystal (GGA-PBE, Alexandria).

CIF file:
```
data_BeInIr
_chemical_formula_sum 'Be1 In1 Ir1'
_space_group_name_H-M_alt 'P 3 m 1'
_space_group_IT_number 156
_space_group_name_Hall 'P 3 -2"'
_cell_length_a 2.9628
_cell_length_b 2.9628
_cell_length_c 6.1470
_cell_angle_alpha 90.00
_cell_angle_beta 90.00
_cell_angle_gamma 120.00
loop_
_atom_site_label
_atom_site_fract_x
_atom_site_fract_y
_atom_site_fract_z
_atom_site_occupancy
Be1 0.0000 0.0000 0.0000 1
In1 0.3333 0.6667 0.3679 1
Ir1 0.6667 0.3333 0.7497 1
```

Total magnetization, μB/cell: 0.0
DOS(E_F), states/eV/cell: 1.73


Quick one: most stable of them? version one


Version one
# KBe2In2

A relaxed KBe2In2 crystal (GGA-PBE, Alexandria).

CIF file:
```
data_KBe2In2
_chemical_formula_sum 'K2 Be4 In4'
_space_group_name_H-M_alt 'P 4/m b m'
_space_group_IT_number 127
_space_group_name_Hall '-P 4 2ab'
_cell_length_a 8.447
_cell_length_b 8.447
_cell_length_c 2.890
_cell_angle_alpha 90.00
_cell_angle_beta 90.00
_cell_angle_gamma 90.00
loop_
_atom_site_label
_atom_site_fract_x
_atom_site_fract_y
_atom_site_fract_z
_atom_site_occupancy
K1 0.000 0.000 0.000 1
Be1 0.139 0.361 0.000 1
In1 0.146 0.646 0.500 1
```

Total magnetization, μB/cell: 0.0
DOS(E_F), states/eV/cell: 3.19


Version two
# KBe2In2

A relaxed KBe2In2 crystal (GGA-PBE, Alexandria).

CIF file:
```
data_KBe2In2
_chemical_formula_sum 'K2 Be4 In4'
_space_group_name_H-M_alt 'I 4/m m m'
_space_group_IT_number 139
_space_group_name_Hall '-I 4 2'
_cell_length_a 4.470
_cell_length_b 4.470
_cell_length_c 10.945
_cell_angle_alpha 90.00
_cell_angle_beta 90.00
_cell_angle_gamma 90.00
loop_
_atom_site_label
_atom_site_fract_x
_atom_site_fract_y
_atom_site_fract_z
_atom_site_occupancy
K1 0.000 0.000 0.000 1
Be1 0.000 0.000 0.395 1
In1 0.000 0.500 0.250 1
```

Total magnetization, μB/cell: 0.0
DOS(E_F), states/eV/cell: 5.62


Quick one: most stable of them? version two